# PrNd4Tm2Sc GGA-PBE optimized geometry
# Theoretical density   7.03 Mg/m³
# ΔH_f (0 K)   0.0297 eV/atom
data_PrNd4Tm2Sc
_chemical_formula_sum 'Pr1 Nd4 Tm2 Sc1'
_cell_length_a 5.079
_cell_length_b 5.096
_cell_length_c 10.049
_cell_angle_alpha 90.00
_cell_angle_beta 90.00
_cell_angle_gamma 90.00
_symmetry_space_group_name_H-M 'P m m m'
_symmetry_Int_Tables_number 47
loop_
_symmetry_equiv_pos_as_xyz
'x,y,z'
'-x,-y,-z'
'-x,-y,z'
'x,y,-z'
'x,-y,-z'
'-x,y,z'
'-x,y,-z'
'x,-y,z'
loop_
_atom_site_label
_atom_site_type_symbol
_atom_site_fract_x
_atom_site_fract_y
_atom_site_fract_z
Pr1 Pr 0.000 0.000 0.000
Nd1 Nd 0.000 0.500 0.250
Nd2 Nd 0.500 0.000 0.250
Tm1 Tm 0.000 0.000 0.500
Tm2 Tm 0.500 0.500 0.500
Sc1 Sc 0.500 0.500 0.000



# Pr4Nd2TmSc GGA-PBE optimized geometry
# Theoretical density   6.60 Mg/m³
# ΔH_f (0 K)   0.0301 eV/atom
data_Pr4Nd2TmSc
_chemical_formula_sum 'Pr4 Nd2 Tm1 Sc1'
_cell_length_a 5.129
_cell_length_b 5.164
_cell_length_c 10.132
_cell_angle_alpha 90.00
_cell_angle_beta 90.05
_cell_angle_gamma 90.00
_symmetry_space_group_name_H-M 'P 1 2/m 1'
_symmetry_Int_Tables_number 10
loop_
_symmetry_equiv_pos_as_xyz
'x,y,z'
'-x,-y,-z'
'-x,y,-z'
'x,-y,z'
loop_
_atom_site_label
_atom_site_type_symbol
_atom_site_fract_x
_atom_site_fract_y
_atom_site_fract_z
Pr1 Pr 0.000 0.000 0.247
Pr2 Pr 0.499 0.500 0.246
Nd1 Nd 0.000 0.500 0.500
Nd2 Nd 0.500 0.000 0.000
Tm1 Tm 0.500 0.000 0.500
Sc1 Sc 0.000 0.500 0.000



# PrNd2Tm4Sc GGA-PBE optimized geometry
# Theoretical density   7.40 Mg/m³
# ΔH_f (0 K)   0.4131 eV/atom
data_PrNd2Tm4Sc
_chemical_formula_sum 'Pr4 Nd8 Tm16 Sc4'
_cell_length_a 6.737
_cell_length_b 11.705
_cell_length_c 13.094
_cell_angle_alpha 90.00
_cell_angle_beta 90.00
_cell_angle_gamma 90.00
_symmetry_space_group_name_H-M 'I m m a'
_symmetry_Int_Tables_number 74
_symmetry_space_group_name_Hall '-I 2b 2'
loop_
_atom_site_label
_atom_site_type_symbol
_atom_site_fract_x
_atom_site_fract_y
_atom_site_fract_z
Pr1 Pr 0.000 0.000 0.000
Nd1 Nd 0.000 0.000 0.500
Nd2 Nd 0.250 0.250 0.250
Tm1 Tm 0.000 0.016 0.750
Tm2 Tm 0.250 0.250 0.514
Sc1 Sc 0.250 0.250 0.750



# PrNdTm2Sc GGA-PBE optimized geometry
# Theoretical density   7.08 Mg/m³
# ΔH_f (0 K)   0.0363 eV/atom
data_PrNdTm2Sc
_chemical_formula_sum 'Pr2 Nd2 Tm4 Sc2'
_cell_length_a 6.225
_cell_length_b 5.622
_cell_length_c 9.464
_cell_angle_alpha 90.00
_cell_angle_beta 108.86
_cell_angle_gamma 90.00
_symmetry_space_group_name_H-M 'P 1 21/m 1'
_symmetry_Int_Tables_number 11
loop_
_symmetry_equiv_pos_as_xyz
'x,y,z'
'-x,-y,-z'
'-x,y+1/2,-z'
'x,-y+1/2,z'
loop_
_atom_site_label
_atom_site_type_symbol
_atom_site_fract_x
_atom_site_fract_y
_atom_site_fract_z
Pr1 Pr 0.235 0.250 0.306
Nd1 Nd 0.365 0.750 0.898
Tm1 Tm 0.032 0.250 0.894
Tm2 Tm 0.427 0.250 0.689
Sc1 Sc 0.154 0.750 0.500



> Which of these has the lowest theoretical density?

Pr4Nd2TmSc



> Among the records above, which one has the highest ΔH_f (0 K)?

PrNd2Tm4Sc



Please write out number 2 again, unchanged.
# Pr4Nd2TmSc GGA-PBE optimized geometry
# Theoretical density   6.60 Mg/m³
# ΔH_f (0 K)   0.0301 eV/atom
data_Pr4Nd2TmSc
_chemical_formula_sum 'Pr4 Nd2 Tm1 Sc1'
_cell_length_a 5.129
_cell_length_b 5.164
_cell_length_c 10.132
_cell_angle_alpha 90.00
_cell_angle_beta 90.05
_cell_angle_gamma 90.00
_symmetry_space_group_name_H-M 'P 1 2/m 1'
_symmetry_Int_Tables_number 10
loop_
_symmetry_equiv_pos_as_xyz
'x,y,z'
'-x,-y,-z'
'-x,y,-z'
'x,-y,z'
loop_
_atom_site_label
_atom_site_type_symbol
_atom_site_fract_x
_atom_site_fract_y
_atom_site_fract_z
Pr1 Pr 0.000 0.000 0.247
Pr2 Pr 0.499 0.500 0.246
Nd1 Nd 0.000 0.500 0.500
Nd2 Nd 0.500 0.000 0.000
Tm1 Tm 0.500 0.000 0.500
Sc1 Sc 0.000 0.500 0.000